# Re2TeW

Re2TeW at its PBEsol-relaxed geometry (meta-GGA SCAN, the Alexandria database).

SG ... Pmmm
N(E_F) ... 2.8 states/eV/f.u.
ΔE_f (raw) ... 744 meV per atom
Total energy ... -61.539 eV per atom

Structure (POSCAR):
```
Re2TeW
1.0
3.0144 0.0000 0.0000
0.0000 4.0865 0.0000
0.0000 0.0000 5.3321
Re Te W
2 1 1
Cartesian
0.0000 0.0000 1.2522
0.0000 0.0000 4.0799
1.5072 2.0433 2.6660
1.5072 2.0433 0.0000
```